Compound: Li2CuPt
Source: Alexandria
Functional: PBE
Structure: relaxed

Unit cell a=2.7322 b=3.8098 c=5.2013 alpha=90.00 beta=90.00 gamma=90.00
Atoms (fractional coordinates):
1 Cu 0.5000 0.5000 0.7500
2 Pt 0.5000 0.5000 0.2500
3 Li 0.0000 0.0000 0.0103
4 Li 0.0000 0.0000 0.4897

Properties
Density of states at the Fermi level = 0.36 states/eV per atom
Crystal system = orthorhombic
Total energy = -3.82 eV per atom
E_form = -32.0 kJ per mole of atoms

Compound: MgCd3F
Source: Alexandria
Functional: PBE
Structure: relaxed

Unit cell a=5.4807 b=5.4807 c=5.4807 alpha=90.00 beta=90.00 gamma=90.00
Atoms (fractional coordinates):
1 Mg 0.0000 0.0000 0.0000
2 F 0.5000 0.5000 0.5000
3 Cd 0.0000 0.5000 0.0000
4 Cd 0.0000 0.0000 0.5000
5 Cd 0.5000 0.0000 0.0000

Properties
Density of states at the Fermi level = 0.25 states/eV per atom
Crystal system = cubic
Total energy = -1.28 eV per atom
Formation energy without anion corrections = -0.038 eV per atom

Compound: BaYSc
Source: Alexandria
Functional: PBE
Structure: relaxed

Unit cell a=5.8381 b=5.8381 c=3.4809 alpha=90.00 beta=90.00 gamma=120.00
Atoms (fractional coordinates):
1 Ba 0.0000 0.0000 0.1666
2 Sc 0.6667 0.3333 0.1669
3 Y 0.3333 0.6667 0.6666

Properties
Density of states at the Fermi level = 1.67 states/eV per atom
Crystal system = hexagonal
Total energy = -4.56 eV per atom
E_form = 33.2 kJ per mole of atoms

Compound: Rb2PmCu2S4
Source: Alexandria
Functional: PBE
Structure: relaxed

Unit cell a=3.9900 b=7.9006 c=7.7211 alpha=108.47 beta=104.97 gamma=90.00
Atoms (fractional coordinates):
1 Rb 0.1327 0.5570 0.2654
2 Rb 0.8673 0.4430 0.7346
3 Pm 0.0000 0.0000 0.0000
4 Cu 0.6787 0.9855 0.3575
5 Cu 0.3213 0.0145 0.6425
6 S 0.2033 0.1566 0.4066
7 S 0.7967 0.8434 0.5934
8 S 0.5248 0.7704 0.0497
9 S 0.4752 0.2296 0.9503

Properties
Density of states at the Fermi level = 0.72 states/eV per atom
Crystal system = monoclinic
Total energy = -4.59 eV per atom
Formation energy without anion corrections = -1.105 eV per atom

Compound: TaMo3Pt
Source: Alexandria
Functional: PBE
Structure: relaxed

Unit cell a=4.6845 b=4.6845 c=4.6845 alpha=90.00 beta=90.00 gamma=90.00
Atoms (fractional coordinates):
1 Mo 0.0000 0.5000 0.0000
2 Mo 0.0000 0.0000 0.5000
3 Mo 0.5000 0.0000 0.0000
4 Pt 0.5000 0.5000 0.5000
5 Ta 0.0000 0.0000 0.0000

Properties
Density of states at the Fermi level = 1.14 states/eV per atom
Crystal system = cubic
Total energy = -8.25 eV per atom
E_form = 176.6 kJ per mole of atoms

Compound: PmYSi4
Source: Alexandria
Functional: PBE
Structure: relaxed

Unit cell a=4.0289 b=4.0289 c=7.8630 alpha=104.84 beta=104.84 gamma=90.00
Atoms (fractional coordinates):
1 Pm 0.0000 0.0000 0.0000
2 Y 0.2500 0.7500 0.5000
3 Si 0.6690 0.1690 0.3379
4 Si 0.5840 0.5840 0.1680
5 Si 0.8310 0.3310 0.6621
6 Si 0.4160 0.4160 0.8320

Properties
Density of states at the Fermi level = 0.42 states/eV per atom
Crystal system = tetragonal
Total energy = -6.05 eV per atom
Formation energy without anion corrections = -0.568 eV per atom

Compound: ZnCoNiW
Source: Alexandria
Functional: PBE
Structure: relaxed

Unit cell a=4.1586 b=4.1586 c=4.1586 alpha=60.00 beta=60.00 gamma=60.00
Atoms (fractional coordinates):
1 Ni 0.2500 0.2500 0.2500
2 Zn 0.5000 0.5000 0.5000
3 Co 0.7500 0.7500 0.7500
4 W 0.0000 0.0000 0.0000

Properties
Density of states at the Fermi level = 1.13 states/eV per atom
Crystal system = cubic
Total energy = -6.72 eV per atom
E_form = 6.0 kJ per mole of atoms

Compound: Pa2GeS6
Source: Alexandria
Functional: PBE
Structure: relaxed

Unit cell a=6.8115 b=6.1733 c=11.3201 alpha=90.00 beta=90.00 gamma=90.00
Atoms (fractional coordinates):
1 Pa 0.9999 0.4997 0.8201
2 Pa 0.5001 0.9997 0.6799
3 Pa 0.4999 0.0003 0.3201
4 Pa 0.0001 0.5003 0.1799
5 Ge 0.5000 0.5000 0.0000
6 Ge 0.0000 0.0000 0.5000
7 S 0.8207 0.7580 0.3349
8 S 0.8206 0.7571 0.6649
9 S 0.8391 0.7106 0.9999
10 S 0.6609 0.2106 0.5001
11 S 0.6794 0.2571 0.8351
12 S 0.6793 0.2580 0.1651
13 S 0.1793 0.2420 0.6651
14 S 0.1794 0.2429 0.3351
15 S 0.1609 0.2894 0.0001
16 S 0.3391 0.7894 0.4999
17 S 0.3206 0.7429 0.1649
18 S 0.3207 0.7420 0.8349

Properties
Crystal system = orthorhombic
Total energy = -6.58 eV per atom
Formation energy without anion corrections = -1.208 eV per atom

Compound: SiSnS2N
Source: Alexandria
Functional: PBE
Structure: relaxed

Unit cell a=3.3338 b=4.2724 c=8.2738 alpha=104.08 beta=97.23 gamma=94.61
Atoms (fractional coordinates):
1 Si 0.6750 0.1955 0.3996
2 Sn 0.4823 0.9604 0.9729
3 S 0.7997 0.5045 0.2312
4 S 0.2410 0.2581 0.5753
5 N 0.6047 0.8548 0.2351

Properties
Density of states at the Fermi level = 0.08 states/eV per atom
Crystal system = triclinic
Total energy = -5.27 eV per atom
Formation energy without anion corrections = -0.067 eV per atom

Compound: Mn2NbB2
Source: Alexandria
Functional: PBE
Structure: relaxed

Unit cell a=2.9408 b=3.9098 c=8.8846 alpha=95.78 beta=90.00 gamma=90.00
Atoms (fractional coordinates):
1 Mn 0.2500 0.8518 0.9009
2 Mn 0.7500 0.1482 0.0991
3 Mn 0.2500 0.2522 0.5048
4 Mn 0.7500 0.7478 0.4952
5 Nb 0.2500 0.6916 0.2438
6 Nb 0.7500 0.3084 0.7562
7 B 0.2500 0.7898 0.6639
8 B 0.7500 0.2102 0.3361
9 B 0.2500 0.3743 0.9798
10 B 0.7500 0.6257 0.0202

Properties
Density of states at the Fermi level = 0.81 states/eV per atom
Crystal system = monoclinic
Total energy = -8.77 eV per atom
E_form = -39.8 kJ per mole of atoms

Compound: YMgZr
Source: Alexandria
Functional: PBE
Structure: relaxed

Unit cell a=4.8891 b=3.3078 c=9.7767 alpha=99.68 beta=90.00 gamma=90.00
Atoms (fractional coordinates):
1 Y 0.3467 0.3744 0.1713
2 Y 0.8470 0.6154 0.6523
3 Mg 0.3474 0.0398 0.4970
4 Mg 0.8470 0.9508 0.3263
5 Zr 0.8465 0.7796 0.9823
6 Zr 0.3466 0.2096 0.8413

Properties
Density of states at the Fermi level = 0.93 states/eV per atom
Crystal system = monoclinic
Total energy = -5.52 eV per atom
E_form = 2.0 kJ per mole of atoms

Compound: YTa2Mn
Source: Alexandria
Functional: PBE
Structure: relaxed

Unit cell a=4.7422 b=4.7422 c=3.2318 alpha=90.00 beta=90.00 gamma=90.00
Atoms (fractional coordinates):
1 Mn 0.0000 0.5000 0.5000
2 Ta 0.0000 0.0000 0.0000
3 Ta 0.5000 0.5000 0.0000
4 Y 0.5000 0.0000 0.5000

Properties
Density of states at the Fermi level = 1.36 states/eV per atom
Crystal system = tetragonal
Total energy = -9.19 eV per atom
E_form = 62.5 kJ per mole of atoms

Compound: SmInGa2
Source: Alexandria
Functional: PBE
Structure: relaxed

Unit cell a=5.0667 b=5.0667 c=5.0599 alpha=59.96 beta=59.96 gamma=60.00
Atoms (fractional coordinates):
1 Ga 0.2499 0.2499 0.2502
2 Ga 0.7501 0.7501 0.7498
3 Sm 0.5000 0.5000 0.5000
4 In 0.0000 0.0000 0.0000

Properties
Density of states at the Fermi level = 0.74 states/eV per atom
Crystal system = trigonal
Total energy = -3.66 eV per atom
E_form = -27.6 kJ per mole of atoms